The following is a SCAN calculation of a PBEsol-optimized structure of MgTi5, from Alexandria.

Unit cell a=2.860 b=4.747 c=7.787 alpha=90.00 beta=100.58 gamma=90.00
Fractional coordinates of all 6 atoms:
Ti  0.448  0.500  0.896
Mg  0.774  0.500  0.549
Ti  0.001  0.000  0.002
Ti  0.106  0.500  0.213
Ti  0.661  0.000  0.323
Ti  0.342  0.000  0.685

Results
density = 4.21 g/cm3
Fermi-level density of states = 5.30 states/eV/cell
total magnetization = 1.22 μB per cell
DFT total energy = -14.090 eV/atom
space group = Amm2 (38)